Density functional theory data (PBE-GGA) for an optimized crystal structure of NaHfAl.

```
6
Lattice="3.1912 -0.0039 0.0064 -1.5930 2.7579 -0.0141 -0.0573 -1.8484 15.7025" Properties=species:S:1:pos:R:3 pbc="T T T"
Al 0.5659 1.5469 0.3048
Al 0.5532 1.5581 7.4646
Hf 0.5586 -0.2845 2.6722
Hf 2.1505 0.6353 5.1127
Na -1.0772 0.6044 13.3123
Na 0.5633 -0.2922 10.1637
```

Values from the calculation:
**Calculated formation energy**: 0.05 eV per atom
**Theoretical density**: 5.50 g cm⁻³

=====

Density functional theory data (PBE-GGA) for an optimized crystal structure of FeH2W.

```
4
Lattice="0.0000 2.5420 2.5420 2.5420 0.0000 2.5420 2.5420 2.5420 0.0000" Properties=species:S:1:pos:R:3 pbc="T T T"
Fe 0.0000 0.0000 0.0000
H 1.2710 1.2710 1.2710
H 3.8130 3.8130 3.8130
W 2.5420 2.5420 2.5420
```

Values from the calculation:
**Theoretical density**: 12.22 g cm⁻³
**Calculated total energy**: -6.3382 eV/atom

=====

Density functional theory data (PBE-GGA) for an optimized crystal structure of BaTmGaHg.

```
4
Lattice="-4.9113 -1.1019 -2.2380 -4.1067 -1.8752 3.1563 -4.3196 3.2338 1.1079" Properties=species:S:1:pos:R:3 pbc="T T T"
Ga -3.3344 0.0642 0.5066
Tm 0.0000 0.0000 0.0000
Hg -10.0032 0.1925 1.5197
Ba -6.6688 0.1284 1.0131
```

Values from the calculation:
**Calculated formation energy**: -0.30 eV per atom
**Theoretical density**: 8.10 g cm⁻³

=====

Density functional theory data (PBE-GGA) for an optimized crystal structure of TaAlCd2.

```
4
Lattice="3.0512 0.0000 0.0000 0.0000 4.4078 0.0000 0.0000 0.0000 5.7373" Properties=species:S:1:pos:R:3 pbc="T T T"
Cd 0.0000 0.0000 0.0183
Cd 0.0000 0.0000 2.8504
Ta 1.5256 2.2039 1.4343
Al 1.5256 2.2039 4.3030
```

Values from the calculation:
**Calculated formation energy**: 0.31 eV per atom
**Theoretical density**: 9.31 g cm⁻³

=====

Density functional theory data (PBE-GGA) for an optimized crystal structure of Pm8YSc2.

```
11
Lattice="-4.8318 2.6186 0.3259 -1.6175 -1.9837 -8.0415 -0.2049 -6.9203 6.1770" Properties=species:S:1:pos:R:3 pbc="T T T"
Pm -0.4903 -0.6015 -2.4361
Pm -4.5360 -1.9803 -4.8107
Pm -2.7691 -5.1027 0.0316
Pm -2.1182 -4.3051 3.2721
Pm -1.0994 -2.1144 0.7436
Pm -5.5548 -4.1710 -2.2823
Pm -6.1639 -5.6839 0.8975
Pm -3.8851 -1.1826 -1.5702
Sc -4.4591 -2.6207 1.5452
Sc -2.1951 -3.6647 -3.0838
Y -2.4159 1.3093 0.1630
```

Values from the calculation:
**Calculated formation energy**: 0.12 eV per atom
**Theoretical density**: 6.14 g cm⁻³

=====

Density functional theory data (PBE-GGA) for an optimized crystal structure of Na2H6PtRh.

```
10
Lattice="5.0694 -0.0061 0.0096 -0.0061 5.0693 0.0095 2.5385 2.5384 3.5577" Properties=species:S:1:pos:R:3 pbc="T T T"
Na 5.0695 2.5322 1.7886
Na 2.5322 5.0694 1.7882
Rh 0.0000 0.0000 0.0000
H 1.2670 1.2672 0.0058
H 1.2637 3.8003 0.0096
H 6.3381 3.8014 3.5673
H 5.0672 5.0671 1.7985
H 6.3348 6.3345 3.5710
H 2.5346 2.5345 1.7783
Pt 2.5317 2.5316 0.0096
```

Values from the calculation:
**Theoretical density**: 6.37 g cm⁻³
**Calculated total energy**: -3.9102 eV/atom